In4PdCl2 | PBE | relaxed

It has space group I4/mmm (No. 139), with a = 5.238 Å, b = 5.238 Å, c = 16.126 Å, α = 90.00°, β = 90.00° and γ = 90.00°. The distinct sites, in fractional coordinates, are In at (0.000, 0.000, 0.167), In at (0.000, 0.500, 0.000), Pd at (0.000, 0.000, 0.000) and Cl at (0.000, 0.000, 0.352).

As for the total magnetization: 0.000 μB per atom. The value obtained for the total energy is -46.18 eV/cell. For the uncorrected formation energy, the calculation gives -0.464 eV per atom.


InPdPtCl2 | PBE | relaxed

It has space group P4/mmm (No. 123), with a = 4.707 Å, b = 4.707 Å, c = 5.299 Å, α = 90.00°, β = 90.00° and γ = 90.00°. The distinct sites, in fractional coordinates, are In at (0.000, 0.000, 0.000), Pd at (0.500, 0.500, 0.000), Pt at (0.500, 0.500, 0.500) and Cl at (0.000, 0.500, 0.500).

As for the total magnetization: 0.000 μB per atom. The value obtained for the total energy is -17.49 eV/cell. For the uncorrected formation energy, the calculation gives 0.036 eV per atom.


In2PdPtCl | PBE | relaxed

It has space group P4/mmm (No. 123), with a = 5.346 Å, b = 5.346 Å, c = 4.434 Å, α = 90.00°, β = 90.00° and γ = 90.00°. The distinct sites, in fractional coordinates, are In at (0.000, 0.500, 0.000), Pd at (0.000, 0.000, 0.500), Pt at (0.500, 0.500, 0.500) and Cl at (0.000, 0.000, 0.000).

As for the total magnetization: 0.000 μB per atom. The value obtained for the total energy is -16.03 eV/cell. For the uncorrected formation energy, the calculation gives 0.506 eV per atom.


RbInPdCl6 | PBE | relaxed

It has space group P312 (No. 149), with a = 6.6488 Å, b = 6.6488 Å, c = 7.3805 Å, α = 90.00°, β = 90.00° and γ = 120.00°. The distinct sites, in fractional coordinates, are Rb at (0.0000, 0.0000, 0.0000), In at (0.6667, 0.3333, 0.5000), Pd at (0.3333, 0.6667, 0.5000) and Cl at (0.0015, 0.3713, 0.6962).

As for the total magnetization: 0.222 μB per atom. The value obtained for the total energy is -29.49 eV/cell. For the uncorrected formation energy, the calculation gives -1.057 eV per atom.


Rb2InPdCl6 | PBE | relaxed

It has space group R-3m (No. 166, hexagonal axes), with a = 7.3369 Å, b = 7.3369 Å, c = 37.2990 Å, α = 90.00°, β = 90.00° and γ = 120.00°. The distinct sites, in fractional coordinates, are Rb at (0.0000, 0.0000, 0.1217), Rb at (0.0000, 0.0000, 0.2951), In at (0.0000, 0.0000, 0.0000), In at (0.0000, 0.0000, 0.5000), Pd at (0.0000, 0.0000, 0.4129), Cl at (0.9997, 0.4998, 0.2924) and Cl at (0.0084, 0.5042, 0.1263).

As for the total magnetization: 0.101 μB per atom. The value obtained for the total energy is -200.05 eV/cell. For the uncorrected formation energy, the calculation gives -1.240 eV per atom.


InPdS2Cl | PBE | relaxed

It has space group P4/mmm (No. 123), with a = 4.790 Å, b = 4.790 Å, c = 4.868 Å, α = 90.00°, β = 90.00° and γ = 90.00°. The distinct sites, in fractional coordinates, are In at (0.000, 0.000, 0.000), Pd at (0.500, 0.500, 0.500), S at (0.000, 0.500, 0.500) and Cl at (0.500, 0.500, 0.000).

As for the total magnetization: 0.000 μB per atom. The value obtained for the excess energy over the best structure of this formula in the dataset is 0.00 eV/f.u. The value obtained for the total energy is -17.96 eV/cell. For the uncorrected formation energy, the calculation gives 0.015 eV per atom.